Compound: LiBiP4O12
Source: Alexandria
Functional: PBE-GGA
Structure: relaxed

a b c (Å): 7.541 7.541 10.519
angles (deg): 100.55 100.55 115.61
Positions (direct):
Li 0.109 0.891 0.750
Li 0.891 0.109 0.250
Bi 0.137 0.863 0.250
Bi 0.863 0.137 0.750
P 0.244 0.304 0.543
P 0.279 0.615 0.993
P 0.304 0.244 0.043
P 0.385 0.721 0.507
P 0.615 0.279 0.493
P 0.696 0.756 0.957
P 0.721 0.385 0.007
P 0.756 0.696 0.457
O 0.082 0.493 0.878
O 0.133 0.196 0.394
O 0.155 0.219 0.647
O 0.196 0.133 0.894
O 0.202 0.695 0.403
O 0.219 0.155 0.147
O 0.296 0.541 0.578
O 0.305 0.798 0.097
O 0.331 0.475 0.074
O 0.459 0.704 0.922
O 0.475 0.331 0.574
O 0.493 0.082 0.378
O 0.507 0.918 0.622
O 0.525 0.669 0.426
O 0.541 0.296 0.078
O 0.669 0.525 0.926
O 0.695 0.202 0.903
O 0.704 0.459 0.422
O 0.781 0.845 0.853
O 0.798 0.305 0.597
O 0.804 0.867 0.106
O 0.845 0.781 0.353
O 0.867 0.804 0.606
O 0.918 0.507 0.122

Formation energy without anion corrections = -2.049 eV/atom
Uncorrected energy = -6.88 eV/atom
Magnetization = 0.00 μB per atom
D(E_F) = 0.0 states/eV per cell
Crystal system = monoclinic